The following is a PBE-GGA calculation of an optimized crystal structure of Ag5Pb3Cl12, from Alexandria.

Geometry as POSCAR:
```
Ag5Pb3Cl12
1.0
14.172 0.000 0.000
-4.724 13.361 0.000
-4.724 -6.681 11.571
Ag Cl Pb
20 48 12
Direct
0.250 0.375 0.625
0.000 0.000 0.000
0.000 0.500 0.500
0.125 0.750 0.375
0.500 0.000 0.000
0.625 0.875 0.250
0.750 0.125 0.875
0.125 0.375 0.250
0.500 0.500 0.000
0.750 0.625 0.375
0.000 0.000 0.500
0.875 0.625 0.750
0.375 0.125 0.750
0.250 0.875 0.125
0.000 0.500 0.000
0.500 0.000 0.500
0.625 0.750 0.875
0.875 0.250 0.625
0.375 0.250 0.125
0.500 0.500 0.500
0.128 0.413 0.087
0.716 0.587 0.174
0.959 0.372 0.284
0.041 0.413 0.826
0.128 0.716 0.541
0.041 0.628 0.716
0.284 0.872 0.959
0.913 0.826 0.784
0.872 0.587 0.913
0.326 0.541 0.413
0.413 0.128 0.587
0.413 0.041 0.326
0.959 0.587 0.174
0.913 0.826 0.541
0.216 0.541 0.628
0.174 0.087 0.959
0.459 0.674 0.087
0.826 0.913 0.284
0.587 0.716 0.674
0.087 0.174 0.216
0.413 0.372 0.587
0.372 0.413 0.087
0.372 0.959 0.784
0.784 0.326 0.913
0.216 0.674 0.087
0.087 0.913 0.372
0.913 0.087 0.628
0.541 0.326 0.913
0.784 0.459 0.372
0.716 0.128 0.041
0.087 0.913 0.128
0.587 0.872 0.413
0.587 0.959 0.674
0.628 0.041 0.216
0.541 0.216 0.128
0.674 0.216 0.587
0.628 0.587 0.913
0.174 0.087 0.716
0.587 0.628 0.413
0.459 0.784 0.872
0.913 0.087 0.872
0.087 0.174 0.459
0.872 0.284 0.459
0.284 0.413 0.826
0.826 0.913 0.041
0.326 0.784 0.413
0.413 0.284 0.326
0.674 0.459 0.587
0.750 0.875 0.625
0.250 0.625 0.875
0.125 0.250 0.875
0.125 0.875 0.750
0.375 0.750 0.625
0.750 0.375 0.125
0.625 0.375 0.750
0.875 0.125 0.250
0.375 0.625 0.250
0.250 0.125 0.375
0.875 0.750 0.125
0.625 0.250 0.375
```

Properties
- Raw formation energy: -0.73 eV/atom
- Calculated total energy: -3.105 eV per atom
- SG: Ia-3d, No. 230
- Fermi-level density of states: 67.111 states/eV/cell

The following is a PBE-GGA calculation of an optimized crystal structure of Ag3PbCl4, from Alexandria.

Geometry as POSCAR:
```
Ag3PbCl4
1.0
5.945 0.000 0.000
0.000 5.945 0.000
-2.973 -2.973 5.650
Cl Ag Pb
4 3 1
Direct
0.738 0.738 0.476
0.000 0.500 0.000
0.262 0.262 0.524
0.500 0.000 0.000
0.250 0.750 0.500
0.750 0.250 0.500
0.500 0.500 0.000
0.000 0.000 0.000
```

Properties
- Raw formation energy: -0.37 eV/atom
- Calculated total energy: -2.829 eV per atom
- SG: I4/mmm, No. 139
- Fermi-level density of states: 3.600 states/eV/cell

The following is a PBE-GGA calculation of an optimized crystal structure of Ag3PbCl9, from Alexandria.

Geometry as POSCAR:
```
Ag3PbCl9
1.0
0.699 6.206 3.567
6.203 -0.562 7.014
9.311 6.893 -6.566
Cl Ag Pb
18 6 2
Direct
0.368 0.952 0.359
0.978 0.835 0.271
0.267 0.188 0.514
0.585 0.419 0.607
0.825 0.031 0.629
0.497 0.085 0.882
0.321 0.452 0.859
0.515 0.531 0.129
0.066 0.312 0.168
0.536 0.585 0.382
0.873 0.108 0.016
0.690 0.200 0.346
0.915 0.335 0.771
0.388 0.919 0.107
0.002 0.608 0.516
0.030 0.688 0.014
0.454 0.812 0.668
0.764 0.700 0.846
0.698 0.574 0.713
0.564 0.243 0.743
0.798 0.903 0.942
0.450 0.743 0.243
0.357 0.403 0.442
0.015 0.074 0.213
0.918 0.406 0.987
0.688 0.906 0.487
```

Properties
- Raw formation energy: -0.46 eV/atom
- Calculated total energy: -2.681 eV per atom
- SG: Cc, No. 9
- Fermi-level density of states: 2.794 states/eV/cell

The following is a PBE-GGA calculation of an optimized crystal structure of AgPbCl6, from Alexandria.

Geometry as POSCAR:
```
AgPbCl6
1.0
6.753 0.423 -0.291
3.759 5.941 -0.399
3.214 1.852 5.793
Cl Pb Ag
6 1 1
Direct
0.595 0.236 0.251
0.249 0.912 0.231
0.884 0.543 0.279
0.751 0.088 0.769
0.405 0.764 0.749
0.116 0.457 0.721
0.500 0.500 0.500
0.000 0.000 0.000
```

Properties
- Raw formation energy: -0.46 eV/atom
- Calculated total energy: -2.660 eV per atom
- SG: P-1, No. 2
- Fermi-level density of states: 3.879 states/eV/cell

Look up the raw formation energy of the first one. -0.73 eV/atom

Which formula does entry 4 have? AgPbCl6